Density functional theory data (GGA-PBE) for a relaxed structure of Li2CuI4.

Lattice parameters (Å, degrees): 6.816 6.348 6.348 90.00 90.00 90.00
Atoms (fractional coordinates):
I1 0.764 0.230 0.230
I2 0.236 0.770 0.230
I3 0.236 0.230 0.770
I4 0.764 0.770 0.770
Li1 0.000 0.000 0.500
Li2 0.000 0.500 0.000
Cu1 0.000 0.000 0.000

## Properties
Distance to the lowest polymorph of the same formula   0 meV/atom
SG   P-42m, No. 111
Raw formation energy   -677 meV per atom
Magnetic moment   1.03 μB/cell
DFT total energy   -2.695 eV/atom

Density functional theory data (GGA-PBE) for a relaxed structure of LiCu2I.

Lattice parameters (Å, degrees): 4.708 4.708 4.708 60.00 60.00 60.00
Atoms (fractional coordinates):
Cu1 0.250 0.250 0.250
Cu2 0.750 0.750 0.750
Li1 0.000 0.000 0.000
I1 0.500 0.500 0.500

## Properties
Distance to the lowest polymorph of the same formula   288 meV/atom
SG   Fm-3m, No. 225
Raw formation energy   382 meV per atom
Magnetic moment   0.00 μB/cell
DFT total energy   -2.532 eV/atom

Density functional theory data (GGA-PBE) for a relaxed structure of Li2CuI.

Lattice parameters (Å, degrees): 3.646 4.656 4.656 90.00 90.00 90.00
Atoms (fractional coordinates):
Li1 0.000 0.500 0.000
Li2 0.000 0.000 0.500
Cu1 0.500 0.000 0.000
I1 0.500 0.500 0.500

## Properties
Distance to the lowest polymorph of the same formula   0 meV/atom
SG   P4/mmm, No. 123
Raw formation energy   -234 meV per atom
Magnetic moment   0.00 μB/cell
DFT total energy   -2.602 eV/atom

Density functional theory data (GGA-PBE) for a relaxed structure of LiCu3I.

Lattice parameters (Å, degrees): 4.452 4.452 4.452 90.00 90.00 90.00
Atoms (fractional coordinates):
I1 0.500 0.500 0.500
Cu1 0.500 0.000 0.000
Cu2 0.000 0.500 0.000
Cu3 0.000 0.000 0.500
Li1 0.000 0.000 0.000

## Properties
Distance to the lowest polymorph of the same formula   0 meV/atom
SG   Pm-3m, No. 221
Raw formation energy   745 meV per atom
Magnetic moment   0.00 μB/cell
DFT total energy   -2.405 eV/atom

Density functional theory data (GGA-PBE) for a relaxed structure of LiCu2I3.

Lattice parameters (Å, degrees): 4.174 8.100 11.306 107.43 90.00 90.00
Atoms (fractional coordinates):
Cu1 0.750 0.571 0.075
Cu2 0.250 0.968 0.567
Cu3 0.250 0.429 0.925
Cu4 0.750 0.032 0.433
I1 0.750 0.919 0.186
I2 0.250 0.081 0.814
I3 0.250 0.251 0.497
I4 0.750 0.749 0.503
I5 0.750 0.568 0.841
I6 0.250 0.432 0.159
Li1 0.750 0.219 0.711
Li2 0.250 0.781 0.289

## Properties
Distance to the lowest polymorph of the same formula   7 meV/atom
SG   P2_1/m, No. 11
Raw formation energy   -481 meV per atom
Magnetic moment   0.00 μB/cell
DFT total energy   -2.941 eV/atom

Density functional theory data (GGA-PBE) for a relaxed structure of LiCu2I3.

Lattice parameters (Å, degrees): 7.593 7.593 7.548 99.52 99.52 120.16
Atoms (fractional coordinates):
I1 0.542 0.707 0.878
I2 0.234 0.054 0.892
I3 0.707 0.542 0.378
I4 0.884 0.401 0.878
I5 0.054 0.234 0.392
I6 0.401 0.884 0.378
Cu1 0.430 0.595 0.508
Cu2 0.595 0.430 0.008
Cu3 0.760 0.264 0.508
Cu4 0.264 0.760 0.008
Li1 0.926 0.099 0.006
Li2 0.099 0.926 0.506

## Properties
Distance to the lowest polymorph of the same formula   0 meV/atom
SG   Cc, No. 9
Raw formation energy   -488 meV per atom
Magnetic moment   0.00 μB/cell
DFT total energy   -2.948 eV/atom

Density functional theory data (GGA-PBE) for a relaxed structure of LiCu2I4.

Lattice parameters (Å, degrees): 5.964 5.964 6.461 90.00 90.00 90.00
Atoms (fractional coordinates):
I1 0.743 0.257 0.738
I2 0.743 0.743 0.262
I3 0.257 0.743 0.738
I4 0.257 0.257 0.262
Cu1 0.000 0.500 0.500
Cu2 0.500 0.000 0.500
Li1 0.000 0.000 0.000

## Properties
SG   P-42m, No. 111
Raw formation energy   -432 meV per atom
Magnetic moment   0.00 μB/cell
DFT total energy   -2.762 eV/atom

Density functional theory data (GGA-PBE) for a relaxed structure of LiCu4I5.

Lattice parameters (Å, degrees): 4.312 4.312 35.756 90.00 90.00 120.00
Atoms (fractional coordinates):
Cu1 0.333 0.667 0.896
Cu2 0.333 0.667 0.700
Cu3 0.333 0.667 0.503
Cu4 0.667 0.333 0.602
Cu5 0.667 0.333 0.200
Cu6 0.667 0.333 0.798
Cu7 0.667 0.333 0.405
Cu8 0.667 0.333 0.994
I1 0.333 0.667 0.430
I2 0.667 0.333 0.921
I3 0.667 0.333 0.332
I4 0.667 0.333 0.724
I5 0.333 0.667 0.224
I6 0.667 0.333 0.126
I7 0.333 0.667 0.822
I8 0.667 0.333 0.528
I9 0.333 0.667 0.626
I10 0.333 0.667 0.019
Li1 0.333 0.667 0.096
Li2 0.333 0.667 0.302

## Properties
SG   P3m1, No. 156
Raw formation energy   -344 meV per atom
Magnetic moment   0.00 μB/cell
DFT total energy   -2.949 eV/atom

Density functional theory data (GGA-PBE) for a relaxed structure of LiCuI.

Lattice parameters (Å, degrees): 3.771 3.771 9.790 90.00 90.00 90.00
Atoms (fractional coordinates):
I1 0.500 0.000 0.813
I2 0.000 0.500 0.187
Cu1 0.000 0.000 0.500
Cu2 0.500 0.500 0.500
Li1 0.500 0.000 0.262
Li2 0.000 0.500 0.738

## Properties
SG   P4/nmm, No. 129
Raw formation energy   -279 meV per atom
Magnetic moment   0.00 μB/cell
DFT total energy   -2.799 eV/atom

Density functional theory data (GGA-PBE) for a relaxed structure of Li4CuI5.

Lattice parameters (Å, degrees): 4.471 4.471 18.663 83.12 83.12 60.00
Atoms (fractional coordinates):
Li1 0.750 0.750 0.751
Li2 0.151 0.151 0.547
Li3 0.348 0.348 0.956
Li4 0.552 0.552 0.343
I1 0.997 0.997 0.008
I2 0.201 0.201 0.396
I3 0.602 0.602 0.193
I4 0.398 0.398 0.805
I5 0.800 0.800 0.600
Cu1 0.949 0.949 0.152

## Properties
SG   R3m, No. 160
Raw formation energy   -992 meV per atom
Magnetic moment   0.00 μB/cell
DFT total energy   -2.942 eV/atom

Density functional theory data (GGA-PBE) for a relaxed structure of LiCuI3.

Lattice parameters (Å, degrees): 4.388 7.435 11.425 112.32 90.00 90.00
Atoms (fractional coordinates):
I1 0.250 0.117 0.417
I2 0.750 0.955 0.121
I3 0.750 0.883 0.583
I4 0.250 0.487 0.776
I5 0.750 0.513 0.224
I6 0.250 0.045 0.879
Li1 0.750 0.742 0.832
Li2 0.250 0.258 0.168
Cu1 0.750 0.890 0.337
Cu2 0.250 0.110 0.663

## Properties
Distance to the lowest polymorph of the same formula   0 meV/atom
SG   P2_1/m, No. 11
Raw formation energy   -464 meV per atom
Magnetic moment   0.00 μB/cell
DFT total energy   -2.596 eV/atom

Density functional theory data (GGA-PBE) for a relaxed structure of Li2CuI.

Lattice parameters (Å, degrees): 6.275 6.275 7.414 64.97 64.97 90.00
Atoms (fractional coordinates):
Li1 0.875 0.858 0.750
Li2 0.142 0.625 0.250
Li3 0.375 0.392 0.750
Li4 0.608 0.125 0.250
Cu1 0.250 0.750 0.500
Cu2 0.500 0.500 0.000
I1 0.000 0.000 0.000
I2 0.750 0.250 0.500

## Properties
Distance to the lowest polymorph of the same formula   19 meV/atom
SG   I-42d, No. 122
Raw formation energy   -215 meV per atom
Magnetic moment   0.00 μB/cell
DFT total energy   -2.584 eV/atom

Q: raw formation energy of number 8 (LiCu4I5)?
A: -344 meV per atom